KTlSe2 | meta-GGA SCAN | PBEsol geometry

Results
SG: R-3m, No. 166
Formation energy without anion corrections: -650 meV/atom
Offset from the most stable computed form: 67 meV/atom
Mass density: 5.9 Mg/m³

Lattice parameters (Å, degrees): 7.9454 7.9454 7.9454 30.21 30.21 30.21
Fractional coordinates of all 4 atoms:
K 0.0000 0.0000 0.0000
Tl 0.5000 0.5000 0.5000
Se 0.2350 0.2350 0.2350
Se 0.7650 0.7650 0.7650

---

KU2Se6 | meta-GGA SCAN | PBEsol geometry

Results
SG: Immm, No. 71
Formation energy without anion corrections: -1114 meV/atom
Mass density: 7.1 Mg/m³
DOS at the Fermi energy: 10.498 states/eV/cell

Lattice parameters (Å, degrees): 11.2656 11.2656 11.2656 159.97 151.78 34.85
Fractional coordinates of all 9 atoms:
K 0.0000 0.0000 0.0000
U 0.3191 0.8191 0.5000
U 0.6809 0.1809 0.5000
Se 0.1391 0.3913 0.7478
Se 0.2239 0.2239 0.0000
Se 0.3564 0.6087 0.7478
Se 0.6436 0.3913 0.2522
Se 0.7761 0.7761 0.0000
Se 0.8609 0.6087 0.2522

---

KV5Se8 | meta-GGA SCAN | PBEsol geometry

Results
SG: C2/m, No. 12
Formation energy without anion corrections: -907 meV/atom
Mass density: 6.0 Mg/m³
DOS at the Fermi energy: 5.507 states/eV/cell

Lattice parameters (Å, degrees): 9.1807 9.1807 8.7774 104.15 104.15 21.03
Fractional coordinates of all 14 atoms:
K 0.0000 0.0000 0.0000
V 0.1443 0.1443 0.5001
V 0.2113 0.2113 0.8591
V 0.5000 0.5000 0.5000
V 0.7887 0.7887 0.1409
V 0.8557 0.8557 0.4999
Se 0.0722 0.0722 0.6907
Se 0.2578 0.2578 0.3415
Se 0.3427 0.3427 0.9953
Se 0.4154 0.4154 0.6872
Se 0.5846 0.5846 0.3128
Se 0.6573 0.6573 0.0047
Se 0.7422 0.7422 0.6585
Se 0.9278 0.9278 0.3093

---

K3VSe4 | meta-GGA SCAN | PBEsol geometry

Results
SG: I-42m, No. 121
Formation energy without anion corrections: -1096 meV/atom
Mass density: 2.6 Mg/m³
DOS at the Fermi energy: 0.000 states/eV/cell

Lattice parameters (Å, degrees): 8.1117 8.1117 8.1117 129.50 129.50 74.20
Fractional coordinates of all 8 atoms:
K 0.0000 0.0000 0.0000
K 0.2500 0.7500 0.5000
K 0.7500 0.2500 0.5000
V 0.5000 0.5000 0.0000
Se 0.2092 0.5923 0.0000
Se 0.4077 0.4077 0.6169
Se 0.5923 0.2092 0.0000
Se 0.7908 0.7908 0.3831

---

K2WSe | meta-GGA SCAN | PBEsol geometry

Results
SG: P4mm, No. 99
Formation energy without anion corrections: 685 meV/atom
Mass density: 4.7 Mg/m³
DOS at the Fermi energy: 2.880 states/eV/cell

Lattice parameters (Å, degrees): 3.2945 3.2945 11.1581 90.00 90.00 90.00
Fractional coordinates of all 4 atoms:
K 0.0000 0.0000 0.0000
K 0.5000 0.5000 0.3536
W 0.5000 0.5000 0.6354
Se 0.0000 0.0000 0.7276

---

K2WSe | meta-GGA SCAN | PBEsol geometry

Results
SG: R-3m, No. 166
Formation energy without anion corrections: 836 meV/atom
Mass density: 6.3 Mg/m³
DOS at the Fermi energy: 2.814 states/eV/cell

Lattice parameters (Å, degrees): 11.4977 11.4977 11.4977 15.05 15.05 15.05
Fractional coordinates of all 4 atoms:
K 0.2445 0.2445 0.2445
K 0.7555 0.7555 0.7555
W 0.0000 0.0000 0.0000
Se 0.5000 0.5000 0.5000

---

no.,total moment (μB per atom)
1,0.000
2,0.392
3,0.147
4,0.000
5,0.000
6,0.067